The following is a PBE-GGA calculation of a relaxed Ba2SiAu crystal, from the Alexandria database. Values from VASP.

Structure (Quantum ESPRESSO input):
```
&SYSTEM
  ibrav = 0, nat = 4, ntyp = 3
/
ATOMIC_SPECIES
Ba 137.33 Ba.upf
Si 28.09 Si.upf
Au 196.97 Au.upf
ATOMIC_POSITIONS crystal
Ba 0.000 0.000 0.000
Ba 0.500 0.500 0.500
Si 0.000 0.000 0.500
Au 0.500 0.500 0.000
CELL_PARAMETERS angstrom
4.806 0.000 0.000
0.000 4.838 0.000
0.000 0.000 6.748
```

Values from the calculation:
Uncorrected energy = -3.413 eV/atom
V = 39.23 Å³ per atom
Formation energy without anion corrections = -0.276 eV per atom
Total magnetization = 0.119 μB per atom
Excess energy over the best structure of this formula in the dataset = 233 meV per atom